(1)
# AlSiP PBE relaxed
data_AlSiP
_chemical_formula_sum 'Al4 Si4 P4'
_symmetry_space_group_name_H-M 'C 1 m 1'
_symmetry_Int_Tables_number 8
_symmetry_space_group_name_Hall 'C -2y'
_cell_length_a 10.6179
_cell_length_b 3.9148
_cell_length_c 6.8593
_cell_angle_alpha 90.00
_cell_angle_beta 107.26
_cell_angle_gamma 90.00
loop_
_atom_site_label
_atom_site_type_symbol
_atom_site_fract_x
_atom_site_fract_y
_atom_site_fract_z
Al1 Al 0.0000 0.0000 0.0000
Al2 Al 0.0591 0.5000 0.4936
Si1 Si 0.0745 0.5000 0.8563
Si2 Si 0.3215 0.0000 0.2752
P1 P 0.1305 0.0000 0.3565
P2 P 0.2892 0.5000 0.0665
# calculated density	2.10	g/cm³
# uncorrected energy	-4.980	eV per atom


(2)
# AlSi2P PBE relaxed
data_AlSi2P
_chemical_formula_sum 'Al1 Si2 P1'
_symmetry_space_group_name_H-M 'P m m 2'
_symmetry_Int_Tables_number 25
_symmetry_space_group_name_Hall 'P 2 -2'
_cell_length_a 4.7340
_cell_length_b 4.9325
_cell_length_c 2.6750
_cell_angle_alpha 90.00
_cell_angle_beta 90.00
_cell_angle_gamma 90.00
loop_
_atom_site_label
_atom_site_type_symbol
_atom_site_fract_x
_atom_site_fract_y
_atom_site_fract_z
Al1 Al 0.0000 0.0000 0.0000
Si1 Si 0.5000 0.0000 0.5321
Si2 Si 0.5000 0.5000 0.3438
P1 P 0.0000 0.5000 0.1304
# calculated density	3.03	g/cm³
# uncorrected energy	-4.895	eV per atom


| no. | ΔE_f (raw) (eV per atom) | distance to the lowest polymorph of the same formula (meV/atom) |
| --- | --- | --- |
| 1 | -0.121 | 236 |
| 2 | 0.104 | 88 |